The following is a PBE calculation of a relaxed structure of UHI2, from Alexandria.

Cell lengths 3.9504, 3.9504, 8.5729 Å; angles 102.91, 102.91, 60.01 degrees
Closest atoms and distances in Å follow each position.
Fractional coordinates of all 4 atoms:
U1 0.0000 0.0000 0.0000  3 H 2.28
H1 0.3335 0.3335 0.0000  3 U 2.28
I1 0.5808 0.5808 0.7346  3 H 3.17, 3 U 3.17
I2 0.7523 0.7523 0.2653  3 H 3.17, 3 U 3.17

Values from the calculation:
Crystal system: monoclinic
Total DFT energy (no corrections), eV/cell: -20.56
Total magnetization, μB per formula unit: 3.0
SG: No. 8

***

The following is a PBE calculation of a relaxed structure of NdDy5Ru6, from Alexandria.

Cell lengths 8.3556, 8.3556, 8.3556 Å; angles 146.39, 131.64, 60.18 degrees
Closest atoms and distances in Å follow each position.
Fractional coordinates of all 12 atoms:
Nd1 0.0000 0.0000 0.0000  8 Ru 2.97-2.98
Dy1 0.1687 0.6687 0.5000  8 Ru 2.91-2.99
Dy2 0.3335 0.3335 0.0000  8 Ru 2.94-2.95
Dy3 0.5000 0.0000 0.5000  8 Ru 2.95-2.97
Dy4 0.6665 0.6665 0.0000  8 Ru 2.94-2.95
Dy5 0.8313 0.3313 0.5000  8 Ru 2.91-2.99
Ru1 0.0834 0.8320 0.2514  7 Dy 2.91-2.97, 1 Nd 2.98
Ru2 0.2533 0.5000 0.7533  6 Dy 2.94-2.99, 2 Nd 2.97
Ru3 0.4193 0.1680 0.2514  7 Dy 2.91-2.97, 1 Nd 2.98
Ru4 0.5807 0.8320 0.7486  7 Dy 2.91-2.97, 1 Nd 2.98
Ru5 0.7467 0.5000 0.2467  6 Dy 2.94-2.99, 2 Nd 2.97
Ru6 0.9166 0.1680 0.7486  7 Dy 2.91-2.97, 1 Nd 2.98

Values from the calculation:
Crystal system: orthorhombic
DFT formation energy, meV per atom: -275
Total magnetization, μB per formula unit: 0.0
SG: No. 71

***

The following is a PBE calculation of a relaxed structure of ZnMoAu2, from Alexandria.

Cell lengths 4.1215, 4.1215, 3.9742 Å; angles 90.00, 90.00, 90.00 degrees
Closest atoms and distances in Å follow each position.
Fractional coordinates of all 4 atoms:
Zn1 0.0000 0.0000 0.0000  8 Au 2.86, 4 Mo 2.91
Mo1 0.5000 0.5000 0.0000  8 Au 2.86, 4 Zn 2.91
Au1 0.0000 0.5000 0.5000  4 Mo 2.86, 4 Zn 2.86, 4 Au 2.91
Au2 0.5000 0.0000 0.5000  4 Mo 2.86, 4 Zn 2.86, 4 Au 2.91

Values from the calculation:
Crystal system: tetragonal
DFT formation energy, meV per atom: 283
Total magnetization, μB per formula unit: 1.3
SG: No. 123

***

The following is a PBE calculation of a relaxed structure of SrSi2Mo2, from Alexandria.

Cell lengths 5.6050, 5.6050, 5.6050 Å; angles 130.15, 130.15, 73.17 degrees
Closest atoms and distances in Å follow each position.
Fractional coordinates of all 5 atoms:
Sr1 0.0000 0.0000 0.0000  8 Si 3.26, 10 Mo 3.36-3.53
Si1 0.2500 0.7500 0.5000  4 Mo 2.61
Si2 0.7500 0.2500 0.5000  4 Mo 2.61
Mo1 0.3728 0.3728 0.0000  1 Mo 2.29
Mo2 0.6272 0.6272 0.0000  1 Mo 2.29

Values from the calculation:
Crystal system: tetragonal
Energy relative to the elements, uncorrected, meV per atom: 43
Total magnetization, μB per formula unit: 0.0
SG: No. 139

***

The following is a PBE calculation of a relaxed structure of PrCu2As2, from Alexandria.

Cell lengths 6.6542, 6.6542, 6.3229 Å; angles 116.01, 116.01, 99.06 degrees
Closest atoms and distances in Å follow each position.
Fractional coordinates of all 10 atoms:
Pr1 0.1257 0.8743 0.7500  6 As 2.99-3.23, 2 Cu 3.33
Pr2 0.8743 0.1257 0.2500  6 As 2.99-3.23, 2 Cu 3.33
Cu1 0.2302 0.4833 0.9644  4 As 2.42-2.46, 1 Cu 2.66
Cu2 0.4833 0.2302 0.4644  4 As 2.42-2.46, 1 Cu 2.66
Cu3 0.5167 0.7698 0.5356  4 As 2.42-2.46, 1 Cu 2.66
Cu4 0.7698 0.5167 0.0356  4 As 2.42-2.46, 1 Cu 2.66
As1 0.1695 0.8305 0.2500  4 Cu 2.42-2.46
As2 0.4222 0.5778 0.7500  4 Cu 2.42-2.46
As3 0.5778 0.4222 0.2500  4 Cu 2.42-2.46
As4 0.8305 0.1695 0.7500  4 Cu 2.42-2.46

Values from the calculation:
Crystal system: monoclinic
DFT formation energy, meV per atom: -503
Total magnetization, μB per formula unit: 0.0
SG: No. 15

***

The following is a PBE calculation of a relaxed structure of ScTl2GeTe4, from Alexandria.

Cell lengths 7.5923, 4.2543, 8.1700 Å; angles 90.00, 107.74, 90.00 degrees
Closest atoms and distances in Å follow each position.
Fractional coordinates of all 8 atoms:
Sc1 0.0000 0.0000 0.0000  6 Te 2.94
Tl1 0.0000 0.5000 0.5000  6 Te 3.35-3.41
Tl2 0.5000 0.0000 0.5000  6 Te 3.39-3.44
Ge1 0.5000 0.5000 0.0000  6 Te 2.98-2.99
Te1 0.2334 0.5000 0.2036  2 Sc 2.94, 1 Ge 2.99
Te2 0.2569 0.0000 0.7932  1 Sc 2.94, 2 Ge 2.98
Te3 0.7431 0.0000 0.2068  1 Sc 2.94, 2 Ge 2.98
Te4 0.7666 0.5000 0.7964  2 Sc 2.94, 1 Ge 2.99

Values from the calculation:
Crystal system: monoclinic
Energy relative to the elements, uncorrected, meV per atom: -523
Total magnetization, μB per formula unit: 0.0
SG: No. 10

***

The following is a PBE calculation of a relaxed structure of Cu2TeH, from Alexandria.

Cell lengths 6.3327, 6.3327, 6.3327 Å; angles 136.70, 136.70, 62.89 degrees
Closest atoms and distances in Å follow each position.
Fractional coordinates of all 8 atoms:
Cu1 0.3750 0.2069 0.3319  2 H 1.83
Cu2 0.7931 0.1250 0.1681  2 H 1.83
Cu3 0.8750 0.0431 0.6681  2 H 1.83
Cu4 0.9569 0.6250 0.8319  2 H 1.83
Te1 0.2500 0.7500 0.5000  4 Cu 2.65
Te2 0.5000 0.5000 0.0000  4 Cu 2.65
H1 0.0000 0.0000 0.0000  4 Cu 1.83
H2 0.7500 0.2500 0.5000  4 Cu 1.83

Values from the calculation:
Crystal system: tetragonal
Total magnetization, μB per formula unit: 0.0
Excess energy over the best structure of this formula in the dataset, eV per atom: 0.000
SG: No. 122

***

The following is a PBE calculation of a relaxed structure of Mg8Cu2Ru, from Alexandria.

Cell lengths 7.5987, 7.5987, 7.5987 Å; angles 146.41, 122.05, 68.67 degrees
Closest atoms and distances in Å follow each position.
Fractional coordinates of all 11 atoms:
Mg1 0.1270 0.3468 0.7802  3 Cu 2.78-2.79, 1 Ru 2.82, 5 Mg 2.92-3.03
Mg2 0.1428 0.1428 0.0000  2 Ru 2.83, 8 Mg 2.85-3.03, 2 Cu 2.97
Mg3 0.3007 0.0000 0.3007  7 Mg 2.85-2.94, 2 Cu 2.89, 2 Ru 3.12
Mg4 0.4334 0.6532 0.7802  3 Cu 2.78-2.79, 1 Ru 2.82, 5 Mg 2.92-3.03
Mg5 0.5666 0.3468 0.2198  3 Cu 2.78-2.79, 1 Ru 2.82, 5 Mg 2.92-3.03
Mg6 0.6993 0.0000 0.6993  7 Mg 2.85-2.94, 2 Cu 2.89, 2 Ru 3.12
Mg7 0.8572 0.8572 0.0000  2 Ru 2.83, 8 Mg 2.85-3.03, 2 Cu 2.97
Mg8 0.8730 0.6532 0.2198  3 Cu 2.78-2.79, 1 Ru 2.82, 5 Mg 2.92-3.03
Cu1 0.3019 0.8019 0.5000  10 Mg 2.78-2.97
Cu2 0.6981 0.1981 0.5000  10 Mg 2.78-2.97
Ru1 0.0000 0.5000 0.5000  12 Mg 2.82-3.12

Values from the calculation:
Crystal system: orthorhombic
DFT formation energy, meV per atom: -39
Total magnetization, μB per formula unit: 0.0
Excess energy over the best structure of this formula in the dataset, eV per atom: 0.000
SG: No. 71

***

The following is a PBE calculation of a relaxed structure of Ti6Al5W, from Alexandria.

Cell lengths 6.5543, 6.5543, 7.6774 Å; angles 90.00, 90.00, 143.90 degrees
Closest atoms and distances in Å follow each position.
Fractional coordinates of all 12 atoms:
Ti1 0.0000 0.0000 0.2372  2 W 2.73, 6 Al 2.75-2.90, 4 Ti 2.90
Ti2 0.0000 0.0000 0.7628  2 W 2.73, 6 Al 2.75-2.90, 4 Ti 2.90
Ti3 0.3335 0.6665 0.2460  7 Al 2.77-2.85, 1 W 2.81, 4 Ti 2.90-2.91
Ti4 0.3335 0.6665 0.7540  7 Al 2.77-2.85, 1 W 2.81, 4 Ti 2.90-2.91
Ti5 0.6665 0.3335 0.2460  7 Al 2.77-2.85, 1 W 2.81, 4 Ti 2.90-2.91
Ti6 0.6665 0.3335 0.7540  7 Al 2.77-2.85, 1 W 2.81, 4 Ti 2.90-2.91
Al1 0.1655 0.8345 0.0000  8 Ti 2.75-2.82, 2 W 2.89, 2 Al 2.93
Al2 0.1666 0.8334 0.5000  8 Ti 2.82-2.90, 4 Al 2.90-2.91
Al3 0.5000 0.5000 0.5000  8 Ti 2.85-2.86, 4 Al 2.90
Al4 0.8334 0.1666 0.5000  8 Ti 2.82-2.90, 4 Al 2.90-2.91
Al5 0.8345 0.1655 0.0000  8 Ti 2.75-2.82, 2 W 2.89, 2 Al 2.93
W1 0.5000 0.5000 0.0000  8 Ti 2.73-2.81, 4 Al 2.89

Values from the calculation:
Crystal system: orthorhombic
DFT formation energy, meV per atom: -331
Total magnetization, μB per formula unit: 0.0
SG: No. 65

***

The following is a PBE calculation of a relaxed structure of MnOs2Cl, from Alexandria.

Cell lengths 5.8099, 5.8099, 4.0077 Å; angles 98.11, 98.11, 27.59 degrees
Closest atoms and distances in Å follow each position.
Fractional coordinates of all 4 atoms:
Mn1 0.0000 0.0000 0.0000  4 Cl 2.44
Os1 0.2939 0.2939 0.7784  6 Os 2.56-2.77, 1 Cl 2.72, 2 Mn 2.74
Os2 0.7061 0.7061 0.2216  6 Os 2.56-2.77, 1 Cl 2.72, 2 Mn 2.74
Cl1 0.5000 0.5000 0.5000  4 Mn 2.44, 2 Os 2.72

Values from the calculation:
Crystal system: monoclinic
Energy relative to the elements, uncorrected, meV per atom: 569
Total magnetization, μB per formula unit: 3.3
Excess energy over the best structure of this formula in the dataset, eV per atom: 0.252
SG: No. 12

***

The following is a PBE calculation of a relaxed structure of Si2PAuC, from Alexandria.

Cell lengths 4.5096, 4.5096, 6.7550 Å; angles 92.75, 92.75, 41.61 degrees
Closest atoms and distances in Å follow each position.
Fractional coordinates of all 5 atoms:
Si1 0.0000 0.0000 0.0000  2 C 1.96
Si2 0.5841 0.5841 0.3676  1 C 1.95
P1 0.2292 0.2292 0.2076  1 C 1.79
Au1 0.0229 0.0229 0.6432  3 Si 2.43-2.53
C1 0.4312 0.4312 0.1401  1 P 1.79, 3 Si 1.95-1.96

Values from the calculation:
Crystal system: monoclinic
Energy relative to the elements, uncorrected, meV per atom: 240
Total magnetization, μB per formula unit: 0.0
Excess energy over the best structure of this formula in the dataset, eV per atom: 0.038
SG: No. 8

***

The following is a PBE calculation of a relaxed structure of HoHg2P2Pt7, from Alexandria.

Cell lengths 3.9791, 3.9791, 14.7583 Å; angles 97.63, 97.63, 89.98 degrees
Closest atoms and distances in Å follow each position.
Fractional coordinates of all 12 atoms:
Ho1 0.0000 0.0000 0.0000  12 Pt 2.81-2.96
Hg1 0.2026 0.2026 0.4105  5 Pt 2.82-2.83
Hg2 0.7974 0.7974 0.5895  5 Pt 2.82-2.83
P1 0.3814 0.3814 0.7587  5 Pt 2.22-2.38
P2 0.6186 0.6186 0.2413  5 Pt 2.22-2.38
Pt1 0.0745 0.5747 0.1512  2 P 2.38
Pt2 0.3055 0.3055 0.6056  1 P 2.22
Pt3 0.4253 0.9255 0.8488  2 P 2.38
Pt4 0.5000 0.5000 0.0000  4 Ho 2.81, 8 Pt 2.96
Pt5 0.5747 0.0745 0.1512  2 P 2.38
Pt6 0.6945 0.6945 0.3944  1 P 2.22
Pt7 0.9255 0.4253 0.8488  2 P 2.38

Values from the calculation:
Crystal system: monoclinic
DFT formation energy, meV per atom: -554
Total magnetization, μB per formula unit: 0.0
SG: No. 12

***

- total magnetization of number 5 (PrCu2As2)?
  0.0 μB per formula unit